[1]
VASP calculation (PBE-GGA) on an optimized crystal structure of CsMnBPd2.

a b c (Å): 4.966 4.966 4.078
angles (deg): 90.00 90.00 90.00
Fractional positions:
1 Cs 0.000 0.000 0.000
2 Mn 0.500 0.500 0.500
3 B 0.500 0.500 0.000
4 Pd 0.000 0.500 0.500
5 Pd 0.500 0.000 0.500

Values from the calculation:
SG	No. 123
crystal system	tetragonal
formation energy from the elements	1.088	eV per atom
V	20.11	A^3/atom
calculated total energy	-4.329	eV per atom


[2]
VASP calculation (PBE-GGA) on an optimized crystal structure of Zn2AgGeO4.

a b c (Å): 5.588 5.588 5.588
angles (deg): 126.77 126.77 78.63
Fractional positions:
1 Zn 0.250 0.750 0.500
2 Zn 0.750 0.250 0.500
3 Ag 0.000 0.000 0.000
4 Ge 0.500 0.500 0.000
5 O 0.167 0.167 0.598
6 O 0.431 0.833 0.000
7 O 0.569 0.569 0.402
8 O 0.833 0.431 0.000

Values from the calculation:
SG	No. 121
crystal system	tetragonal
V	13.55	A^3/atom
calculated total energy	-4.859	eV per atom
formation energy (no corrections)	-1.128	eV/atom


[3]
VASP calculation (PBE-GGA) on an optimized crystal structure of MnCdI2N.

a b c (Å): 6.094 6.094 4.212
angles (deg): 90.00 90.00 90.00
Fractional positions:
1 Mn 0.000 0.000 0.000
2 Cd 0.500 0.500 0.500
3 I 0.000 0.500 0.500
4 I 0.500 0.000 0.500
5 N 0.500 0.500 0.000

Values from the calculation:
SG	No. 123
crystal system	tetragonal
V	31.29	A^3/atom
calculated total energy	-3.372	eV per atom
energy above the lowest structure with this stoichiometry	727	meV/atom
formation energy (no corrections)	0.930	eV/atom